[1]
A plane-wave DFT calculation with PBE was carried out for a relaxed Ac2EuPb crystal.

Results
Mass density ... 8219 kg/m3
DOS(E_F) ... 5.22 states/eV per cell
Space group ... R-3m, No. 166
Energy of formation ... 0.029 eV per atom

Unit cell a=13.2292 b=13.2292 c=13.2292 alpha=16.57 beta=16.57 gamma=16.57
Fractional positions:
Ac 0.0937 0.0937 0.0937
Ac 0.9063 0.9063 0.9063
Eu 0.0000 0.0000 0.0000
Pb 0.5000 0.5000 0.5000


[2]
A plane-wave DFT calculation with PBE was carried out for a relaxed AlBiRh crystal.

Results
Mass density ... 9507 kg/m3
DOS(E_F) ... 2.54 states/eV per cell
Space group ... I4/mmm, No. 139
Energy of formation ... -0.457 eV per atom

Unit cell a=7.5268 b=7.5268 c=7.5268 alpha=148.15 beta=148.15 gamma=45.67
Fractional positions:
Al 0.0000 0.5000 0.5000
Al 0.5000 0.0000 0.5000
Bi 0.1809 0.1809 0.0000
Bi 0.8191 0.8191 0.0000
Rh 0.3951 0.3951 0.0000
Rh 0.6049 0.6049 0.0000


[3]
A plane-wave DFT calculation with PBE was carried out for a relaxed PaSbRh crystal.

Results
VASP energy ... -7.73 eV/atom
Mass density ... 11659 kg/m3
DOS(E_F) ... 12.41 states/eV per cell
Space group ... Pnma, No. 62

Unit cell a=7.1265 b=4.6667 c=7.8058 alpha=90.00 beta=90.00 gamma=90.00
Fractional positions:
Pa 0.0157 0.2500 0.1970
Pa 0.4843 0.7500 0.6970
Pa 0.5157 0.2500 0.3030
Pa 0.9843 0.7500 0.8030
Sb 0.1860 0.2500 0.5931
Sb 0.3140 0.7500 0.0931
Sb 0.6861 0.2500 0.9069
Sb 0.8139 0.7500 0.4069
Rh 0.2214 0.7500 0.4280
Rh 0.2786 0.2500 0.9280
Rh 0.7214 0.7500 0.0720
Rh 0.7786 0.2500 0.5720


[4]
A plane-wave DFT calculation with PBE was carried out for a relaxed Er2PC crystal.

Results
Mass density ... 5729 kg/m3
DOS(E_F) ... 2.24 states/eV per cell
Space group ... R-3m, No. 166
Energy of formation ... 0.219 eV per atom

Unit cell a=7.5746 b=7.5746 c=7.5746 alpha=32.16 beta=32.16 gamma=32.16
Fractional positions:
Er 0.1012 0.1012 0.1012
Er 0.8988 0.8988 0.8988
P 0.5000 0.5000 0.5000
C 0.0000 0.0000 0.0000


[5]
A plane-wave DFT calculation with PBE was carried out for a relaxed CaRe2Pd crystal.

Results
Mass density ... 12781 kg/m3
DOS(E_F) ... 6.80 states/eV per cell
Space group ... Fm-3m, No. 225
Energy of formation ... 1.147 eV per atom

Unit cell a=4.5684 b=4.5684 c=4.5684 alpha=60.00 beta=60.00 gamma=60.00
Fractional positions:
Ca 0.0000 0.0000 0.0000
Re 0.2500 0.2500 0.2500
Re 0.7500 0.7500 0.7500
Pd 0.5000 0.5000 0.5000


[6]
A plane-wave DFT calculation with PBE was carried out for a relaxed TmZr2O crystal.

Results
VASP energy ... -7.56 eV/atom
Mass density ... 7464 kg/m3
DOS(E_F) ... 3.20 states/eV per cell
Space group ... R-3m, No. 166

Unit cell a=8.8805 b=8.8805 c=8.8805 alpha=21.41 beta=21.41 gamma=21.41
Fractional positions:
Tm 0.0000 0.0000 0.0000
Zr 0.1181 0.1181 0.1181
Zr 0.8819 0.8819 0.8819
O 0.5000 0.5000 0.5000